Record 1
A plane-wave DFT calculation with PBE-GGA was carried out for a relaxed structure of Na2PrF5.

a = 9.8440 Å, b = 7.3128 Å, c = 6.6533 Å
α = 90.00°, β = 90.00°, γ = 90.00°
With the nearest neighbours (Å) after each atom.
Space group Pnma (No. 62)
Unique sites:
Na  0.1760  0.0148  0.0228  5 F 2.33-2.50
Pr  0.0060  0.7500  0.4116  7 F 2.29-2.41
F  0.0011  0.2500  0.9404  1 Pr 2.34, 4 Na 2.49-2.62
F  0.0994  0.0414  0.3585  2 Pr 2.35-2.40, 2 Na 2.37-2.50
F  0.1831  0.7500  0.6337  1 Pr 2.29, 2 Na 2.33
F  0.2276  0.2500  0.6960  1 Pr 2.41, 2 Na 2.45

Properties
DOS(E_F) (states/eV per atom): 0.00
ρ (Mg/m³): 3.91
Energy relative to the elements, uncorrected (eV per atom): -3.36

***

Record 2
A plane-wave DFT calculation with PBE-GGA was carried out for a relaxed structure of Rb3CeV2S8.

a = 7.3173 Å, b = 7.3173 Å, c = 9.3240 Å
α = 90.00°, β = 90.00°, γ = 120.00°
With the nearest neighbours (Å) after each atom.
Space group P-3m1 (No. 164)
Unique sites:
Rb  0.0000  0.0000  0.0000  6 S 3.68
Rb  0.3333  0.6667  0.6562  7 S 3.34-3.67
Ce  0.0000  0.0000  0.5000  6 S 2.75
V  0.3333  0.6667  0.2378  4 S 2.08-2.19
S  0.1712  0.3425  0.3191  1 V 2.19
S  0.3333  0.6667  0.0147  1 V 2.08

Properties
DOS(E_F) (states/eV per atom): 0.60
ρ (Mg/m³): 2.90
Energy relative to the elements, uncorrected (eV per atom): -1.19

***

Record 3
A plane-wave DFT calculation with PBE-GGA was carried out for a relaxed structure of SrP3Au.

a = 4.9405 Å, b = 4.9405 Å, c = 4.9405 Å
α = 90.00°, β = 90.00°, γ = 90.00°
With the nearest neighbours (Å) after each atom.
Space group Pm-3m (No. 221)
Unique sites:
Sr  0.0000  0.0000  0.0000  12 P 3.49
P  0.0000  0.5000  0.5000  2 Au 2.47
Au  0.5000  0.5000  0.5000  6 P 2.47

Properties
Formation enthalpy at 0 K (eV per atom): 0.261
DOS(E_F) (states/eV per atom): 0.91
ρ (Mg/m³): 5.20
Energy above the lowest structure with this stoichiometry (eV per atom): 0.000

***

Record 4
A plane-wave DFT calculation with PBE-GGA was carried out for a relaxed structure of KCa2Pd2.

a = 8.7221 Å, b = 8.7221 Å, c = 3.4268 Å
α = 90.00°, β = 90.00°, γ = 90.00°
With the nearest neighbours (Å) after each atom.
Space group P4/mbm (No. 127)
Unique sites:
K  0.0000  0.0000  0.0000  4 Ca 3.38, 2 K 3.43, 8 Pd 3.73
Ca  0.1380  0.3620  0.0000  6 Pd 3.05-3.11, 2 K 3.38, 1 Ca 3.40
Pd  0.1513  0.6513  0.5000  6 Ca 3.05-3.11

Properties
Formation enthalpy at 0 K (eV per atom): -0.346
DOS(E_F) (states/eV per atom): 0.29
ρ (Mg/m³): 4.23